[1]
# Rb2PrBi2O6

An optimized crystal structure of Rb2PrBi2O6 (PBE, Alexandria).

Calculated values
The magnetic moment is 0.079 μB/atom. As for the density of states at the Fermi level: 0.26 states/eV per atom. As for the uncorrected formation energy: -1.57 eV/atom. The space group is C2/m, No. 12.

Cell lengths 6.3023, 6.3023, 7.7501 Å; angles 112.37, 112.37, 63.80 degrees
Sites, in units of the cell vectors:
Rb: 0.1993 0.1993 0.1469
Rb: 0.8007 0.8007 0.8531
Pr: 0.0000 0.0000 0.5000
Bi: 0.4332 0.4332 0.7592
Bi: 0.5668 0.5668 0.2408
O: 0.2043 0.6974 0.2532
O: 0.2344 0.2344 0.5324
O: 0.3026 0.7957 0.7468
O: 0.6974 0.2043 0.2532
O: 0.7656 0.7656 0.4676
O: 0.7957 0.3026 0.7468

---

[2]
# Rb2Pr2BiO6

An optimized crystal structure of Rb2Pr2BiO6 (PBE, Alexandria).

Calculated values
The magnetic moment is 0.076 μB/atom. As for the density of states at the Fermi level: 0.36 states/eV per atom. As for the uncorrected formation energy: -2.11 eV/atom. The space group is C2/m, No. 12.

Cell lengths 6.2809, 6.2809, 7.0267 Å; angles 97.98, 97.98, 119.81 degrees
Sites, in units of the cell vectors:
Rb: 0.1634 0.8366 0.0000
Rb: 0.8366 0.1634 0.0000
Pr: 0.3348 0.6652 0.5000
Pr: 0.6652 0.3348 0.5000
Bi: 0.0000 0.0000 0.5000
O: 0.0471 0.3752 0.6719
O: 0.2577 0.2577 0.3256
O: 0.3752 0.0471 0.6719
O: 0.6248 0.9529 0.3281
O: 0.7423 0.7423 0.6744
O: 0.9529 0.6248 0.3281